# 1
Density functional theory data (GGA-PBE) for an optimized crystal structure of Er4TlCd3.

Cell: 3.724 3.724 14.913 Å, 90.00 90.00 90.00°
Space group P4/mmm (No. 123)
Unique sites:
Er1 0.000 0.000 0.124
Er2 0.000 0.000 0.370
Tl1 0.500 0.500 0.500
Cd1 0.500 0.500 0.000
Cd2 0.500 0.500 0.245

Properties
The calculation puts the energy relative to the elements at -0.316 eV/atom. The density of states at the Fermi level is 7.82 states/eV/cell. For the spin magnetization, the calculation gives 0.000 μB per atom. For the total energy, the calculation gives -25.89 eV per formula unit.

# 2
Density functional theory data (GGA-PBE) for an optimized crystal structure of BaLiIn.

Cell: 7.887 7.887 7.887 Å, 90.00 90.00 90.00°
Space group F-43m (No. 216)
Unique sites:
Ba1 0.000 0.000 0.000
Li1 0.000 0.000 0.500
In1 0.250 0.250 0.750

Properties
The calculation puts the energy relative to the elements at -0.020 eV/atom. The density of states at the Fermi level is 20.49 states/eV/cell. For the spin magnetization, the calculation gives 0.339 μB per atom. For the total energy, the calculation gives -6.63 eV per formula unit.

# 3
Density functional theory data (GGA-PBE) for an optimized crystal structure of Y2FeCl.

Cell: 3.387 3.387 9.952 Å, 90.00 90.00 90.00°
Space group P4mm (No. 99)
Unique sites:
Y1 0.000 0.000 0.000
Y2 0.500 0.500 0.288
Fe1 0.500 0.500 0.827
Cl1 0.000 0.000 0.447

Properties
Its uncorrected formation energy is -0.7 eV per formula unit. The density of states at the Fermi level is 5.90 states/eV/cell. For the spin magnetization, the calculation gives 0.721 μB per atom. For the total energy, the calculation gives -23.93 eV per formula unit.

# 4
Density functional theory data (GGA-PBE) for an optimized crystal structure of Pm7Y3Er2.

Cell: 5.791 38.150 3.636 Å, 90.00 90.00 90.00°
Space group Cmmm (No. 65)
Unique sites:
Pm1 0.000 0.000 0.000
Pm2 0.000 0.073 0.500
Pm3 0.000 0.232 0.000
Pm4 0.000 0.407 0.000
Y1 0.000 0.316 0.500
Y2 0.000 0.500 0.500
Er1 0.000 0.149 0.000

Properties
The calculation puts the energy relative to the elements at 0.104 eV/atom. The density of states at the Fermi level is 38.78 states/eV/cell. For the spin magnetization, the calculation gives 0.000 μB per atom. For the total energy, the calculation gives -60.52 eV per formula unit.

# 5
Density functional theory data (GGA-PBE) for an optimized crystal structure of Np2Ga5Pt.

Cell: 5.949 5.949 8.691 Å, 90.00 90.00 90.00°
Space group I4/mmm (No. 139)
Unique sites:
Np1 0.000 0.500 0.000
Ga1 0.000 0.000 0.000
Ga2 0.250 0.250 0.250
Pt1 0.000 0.000 0.500

Properties
The calculation puts the energy relative to the elements at -0.241 eV/atom. The density of states at the Fermi level is 25.57 states/eV/cell. For the spin magnetization, the calculation gives 0.977 μB per atom. For the total energy, the calculation gives -48.99 eV per formula unit.

# 6
Density functional theory data (GGA-PBE) for an optimized crystal structure of Mg2CuAu6.

Cell: 8.576 8.576 4.235 Å, 90.00 90.00 90.00°
Space group P4_2/mnm (No. 136)
Unique sites:
Mg1 0.183 0.183 0.000
Cu1 0.000 0.000 0.500
Au1 0.011 0.325 0.500
Au2 0.143 0.857 0.000

Properties
The calculation puts the energy relative to the elements at -0.338 eV/atom. The density of states at the Fermi level is 7.52 states/eV/cell. For the spin magnetization, the calculation gives 0.000 μB per atom. For the total energy, the calculation gives -29.99 eV per formula unit.

# 7
Density functional theory data (GGA-PBE) for an optimized crystal structure of In5GaAg2.

Cell: 4.8384 4.8384 19.3861 Å, 90.00 90.00 120.00°
Space group P6_3/mmc (No. 194)
Unique sites:
In1 0.0000 0.0000 0.1521
In2 0.3333 0.6667 0.0450
In3 0.3333 0.6667 0.2500
Ga1 0.3333 0.6667 0.7500
Ag1 0.3333 0.6667 0.6043

Properties
The calculation puts the energy relative to the elements at 0.044 eV/atom. The density of states at the Fermi level is 7.56 states/eV/cell. For the spin magnetization, the calculation gives 0.000 μB per atom. For the total energy, the calculation gives -22.07 eV per formula unit.

# 8
Density functional theory data (GGA-PBE) for an optimized crystal structure of Tb2Pr5Tl.

Cell: 3.536 11.436 13.238 Å, 90.00 90.00 90.00°
Space group Immm (No. 71)
Unique sites:
Tb1 0.000 0.000 0.231
Pr1 0.000 0.000 0.500
Pr2 0.000 0.264 0.130
Tl1 0.000 0.500 0.500

Properties
The calculation puts the energy relative to the elements at -0.004 eV/atom. The density of states at the Fermi level is 20.86 states/eV/cell. For the spin magnetization, the calculation gives 0.000 μB per atom. For the total energy, the calculation gives -35.56 eV per formula unit.

# 9
Density functional theory data (GGA-PBE) for an optimized crystal structure of ScPa2Tc2.

Cell: 3.499 5.151 11.510 Å, 90.00 98.75 90.00°
Space group P2_1/m (No. 11)
Unique sites:
Sc1 0.144 0.250 0.287
Pa1 0.050 0.750 0.102
Pa2 0.233 0.750 0.471
Tc1 0.359 0.250 0.716
Tc2 0.457 0.750 0.914

Properties
The calculation puts the energy relative to the elements at -0.224 eV/atom. The density of states at the Fermi level is 9.86 states/eV/cell. For the spin magnetization, the calculation gives 0.000 μB per atom. For the total energy, the calculation gives -47.17 eV per formula unit.

# 10
Density functional theory data (GGA-PBE) for an optimized crystal structure of NpZnGa.

Cell: 4.761 5.673 8.248 Å, 90.00 90.00 90.00°
Space group Immm (No. 71)
Unique sites:
Np1 0.000 0.245 0.000
Zn1 0.000 0.000 0.337
Ga1 0.000 0.500 0.330

Properties
The calculation puts the energy relative to the elements at -0.104 eV/atom. The density of states at the Fermi level is 21.96 states/eV/cell. For the spin magnetization, the calculation gives 1.326 μB per atom. For the total energy, the calculation gives -17.55 eV per formula unit.

# 11
Density functional theory data (GGA-PBE) for an optimized crystal structure of TaZn2W.

Cell: 6.273 6.273 6.273 Å, 90.00 90.00 90.00°
Space group Fm-3m (No. 225)
Unique sites:
Ta1 0.000 0.000 0.000
Zn1 0.250 0.250 0.250
W1 0.000 0.000 0.500

Properties
The calculation puts the energy relative to the elements at 0.404 eV/atom. The density of states at the Fermi level is 8.72 states/eV/cell. For the spin magnetization, the calculation gives 0.000 μB per atom. For the total energy, the calculation gives -25.74 eV per formula unit.

# 12
Density functional theory data (GGA-PBE) for an optimized crystal structure of SrCa2Ga2.

Cell: 8.472 8.472 4.213 Å, 90.00 90.00 90.00°
Space group P4/mbm (No. 127)
Unique sites:
Sr1 0.000 0.000 0.000
Ca1 0.172 0.328 0.500
Ga1 0.115 0.615 0.000

Properties
The calculation puts the energy relative to the elements at -0.331 eV/atom. The density of states at the Fermi level is 7.71 states/eV/cell. For the spin magnetization, the calculation gives 0.000 μB per atom. For the total energy, the calculation gives -13.39 eV per formula unit.

# 13
Density functional theory data (GGA-PBE) for an optimized crystal structure of Mg6ZnAu12.

Cell: 10.2081 10.2081 11.6500 Å, 90.00 90.00 120.00°
Space group R-3 (No. 148, hexagonal axes)
Unique sites:
Mg1 0.0151 0.5959 0.2139
Zn1 0.0000 0.0000 0.5000
Au1 0.0368 0.8520 0.3275
Au2 0.0508 0.2030 0.9053

Properties
The calculation puts the energy relative to the elements at -0.403 eV/atom. The density of states at the Fermi level is 11.80 states/eV/cell. For the spin magnetization, the calculation gives 0.000 μB per atom. For the total energy, the calculation gives -57.82 eV per formula unit.

# 14
Density functional theory data (GGA-PBE) for an optimized crystal structure of Cr2SiBr.

Cell: 3.607 3.607 12.059 Å, 90.00 90.00 90.00°
Space group I-4m2 (No. 119)
Unique sites:
Cr1 0.000 0.000 0.000
Cr2 0.000 0.500 0.250
Si1 0.000 0.500 0.750
Br1 0.000 0.000 0.500

Properties
Its uncorrected formation energy is 2.4 eV per formula unit. The density of states at the Fermi level is 5.53 states/eV/cell. For the spin magnetization, the calculation gives 1.802 μB per atom. For the total energy, the calculation gives -23.91 eV per formula unit.

# 15
Density functional theory data (GGA-PBE) for an optimized crystal structure of MgHPd3.

Cell: 5.038 7.511 7.694 Å, 90.00 90.00 90.00°
Space group Pnma (No. 62)
Unique sites:
Mg1 0.000 0.000 0.000
H1 0.002 0.250 0.492
Pd1 0.038 0.073 0.659
Pd2 0.220 0.250 0.315

Properties
The density of states at the Fermi level is 7.02 states/eV/cell. For the spin magnetization, the calculation gives 0.000 μB per atom. For the total energy, the calculation gives -21.61 eV per formula unit.

# 16
Density functional theory data (GGA-PBE) for an optimized crystal structure of PmY3Co2.

Cell: 16.608 3.760 11.836 Å, 90.00 124.63 90.00°
Space group C2/m (No. 12)
Unique sites:
Pm1 0.158 0.000 0.247
Y1 0.083 0.500 0.445
Y2 0.084 0.500 0.938
Y3 0.158 0.000 0.748
Co1 0.234 0.000 0.044
Co2 0.237 0.000 0.549

Properties
The calculation puts the energy relative to the elements at -0.124 eV/atom. The density of states at the Fermi level is 31.93 states/eV/cell. For the spin magnetization, the calculation gives 0.000 μB per atom. For the total energy, the calculation gives -39.10 eV per formula unit.

# 17
Density functional theory data (GGA-PBE) for an optimized crystal structure of Sr3GaSi.

Cell: 6.025 6.025 6.025 Å, 90.00 90.00 90.00°
Space group Pm-3m (No. 221)
Unique sites:
Sr1 0.000 0.000 0.500
Ga1 0.500 0.500 0.500
Si1 0.000 0.000 0.000

Properties
Its uncorrected formation energy is 0.0 eV per formula unit. The density of states at the Fermi level is 5.85 states/eV/cell. For the spin magnetization, the calculation gives 0.406 μB per atom. For the total energy, the calculation gives -13.46 eV per formula unit.